PrHoTl: optimized geometry, PBE-GGA.

Properties
Excess energy over the best structure of this formula in the dataset, eV/atom: 0.0391
VASP energy, eV/atom: -4.12
Formation energy, eV per formula unit: -0.65
Theoretical density, g/cm³: 9.13

Cell: 3.677 3.677 13.726 Å, 90.00 90.00 90.00°
Space group I4mm (No. 107)
Symmetry-distinct sites (fractional):
Pr: 0.000 0.000 0.000 (multiplicity 2)
Ho: 0.000 0.000 0.689 (multiplicity 2)
Tl: 0.000 0.000 0.335 (multiplicity 2)